[1]
This record from Alexandria via LeMat-Bulk describes crystalline NbCoSi3 at its relaxed geometry. The functional is PBE.

a b c (Å): 4.295 4.295 4.295
angles (deg): 90.00 90.00 90.00
Space group Pm-3m (No. 221)
One atom of each set of equivalent atoms:
Nb1 0.000 0.000 0.000
Co1 0.500 0.500 0.500
Si1 0.000 0.500 0.500



[2]
This record from Alexandria via LeMat-Bulk describes crystalline Nb3Co4Si2 at its relaxed geometry. The functional is PBE.

a b c (Å): 8.918 4.158 7.729
angles (deg): 90.00 123.38 90.00
Space group C2/m (No. 12)
One atom of each set of equivalent atoms:
Nb1 0.000 0.000 0.000
Nb2 0.161 0.500 0.672
Co1 0.070 0.000 0.396
Co2 0.211 0.500 0.053
Si1 0.116 0.500 0.282



[3]
This record from Alexandria via LeMat-Bulk describes crystalline Nb3Co2Si at its relaxed geometry. The functional is PBE.

a b c (Å): 11.182 11.182 11.182
angles (deg): 90.00 90.00 90.00
Space group Fd-3m (No. 227, origin choice 2)
One atom of each set of equivalent atoms:
Nb1 0.076 0.375 0.375
Co1 0.042 0.042 0.708
Si1 0.000 0.000 0.500



[4]
This record from Alexandria via LeMat-Bulk describes crystalline Nb3Co6Si2 at its relaxed geometry. The functional is PBE.

a b c (Å): 8.223 8.223 8.223
angles (deg): 90.00 90.00 90.00
Space group Im-3m (No. 229)
One atom of each set of equivalent atoms:
Nb1 0.000 0.000 0.269
Co1 0.000 0.346 0.346
Si1 0.250 0.250 0.250



[5]
This record from Alexandria via LeMat-Bulk describes crystalline Nb2Co2Si3 at its relaxed geometry. The functional is PBE.

a b c (Å): 12.197 12.197 5.043
angles (deg): 90.00 90.00 90.00
Space group I4/mmm (No. 139)
One atom of each set of equivalent atoms:
Nb1 0.000 0.194 0.000
Nb2 0.135 0.135 0.500
Co1 0.137 0.363 0.250
Si1 0.000 0.000 0.244
Si2 0.000 0.292 0.500
Si3 0.000 0.500 0.000
Si4 0.214 0.214 0.000



[6]
This record from Alexandria via LeMat-Bulk describes crystalline NbCoSi2 at its relaxed geometry. The functional is PBE.

a b c (Å): 3.785 3.785 16.880
angles (deg): 90.00 90.00 90.00
Space group I-42d (No. 122)
One atom of each set of equivalent atoms:
Nb1 0.000 0.000 0.000
Co1 0.000 0.000 0.500
Si1 0.199 0.250 0.625



[7]
This record from Alexandria via LeMat-Bulk describes crystalline NbCo4Si2 at its relaxed geometry. The functional is PBE.

a b c (Å): 2.632 3.806 17.324
angles (deg): 90.00 90.00 90.00
Space group Immm (No. 71)
One atom of each set of equivalent atoms:
Nb1 0.000 0.000 0.000
Co1 0.000 0.000 0.145
Co2 0.000 0.500 0.231
Si1 0.000 0.000 0.392



[8]
This record from Alexandria via LeMat-Bulk describes crystalline NbCo4Si2 at its relaxed geometry. The functional is PBE.

a b c (Å): 6.828 6.828 3.631
angles (deg): 90.00 90.00 90.00
Space group P4_2/mnm (No. 136)
One atom of each set of equivalent atoms:
Nb1 0.000 0.000 0.000
Co1 0.087 0.347 0.500
Si1 0.220 0.780 0.500



[9]
This record from Alexandria via LeMat-Bulk describes crystalline NbCoSi2 at its relaxed geometry. The functional is PBE.

a b c (Å): 6.000 6.000 6.000
angles (deg): 90.00 90.00 90.00
Space group Fm-3m (No. 225)
One atom of each set of equivalent atoms:
Nb1 0.000 0.000 0.000
Co1 0.000 0.000 0.500
Si1 0.250 0.250 0.250



[10]
This record from Alexandria via LeMat-Bulk describes crystalline Nb3Co8Si at its relaxed geometry. The functional is PBE.

a b c (Å): 4.7484 4.7484 7.6385
angles (deg): 90.00 90.00 120.00
Space group P3m1 (No. 156)
One atom of each set of equivalent atoms:
Nb1 0.0000 0.0000 0.0000
Nb2 0.0000 0.0000 0.3735
Nb3 0.6667 0.3333 0.5340
Co1 0.1648 0.3296 0.6928
Co2 0.3333 0.6667 0.4378
Co3 0.3333 0.6667 0.9401
Co4 0.5031 0.0062 0.1902
Si1 0.6667 0.3333 0.9040



[11]
This record from Alexandria via LeMat-Bulk describes crystalline NbCo3Si at its relaxed geometry. The functional is PBE.

a b c (Å): 4.128 4.128 4.128
angles (deg): 90.00 90.00 90.00
Space group Pm-3m (No. 221)
One atom of each set of equivalent atoms:
Nb1 0.000 0.000 0.000
Co1 0.000 0.500 0.500
Si1 0.500 0.500 0.500



Size of the total moment (computed, Bohr magnetons per cell): 0.0, 0.0, 0.0, 4.4, 0.0, 0.0, 8.0, 4.0, 0.0, 3.3, 2.6
Energy relative to the elements, uncorrected (computed, eV/f.u.): 2.9, -3.5, -2.4, -5.0, -4.0, 0.3, -0.8, -3.0, -0.5, -1.8, 2.2